(1)
LaMnRh PBE-GGA optimized geometry; SG = F-43m, No. 216; distance to the lowest polymorph of the same formula = 788 meV per atom; size of the total moment = 3.3 μB per cell; energy of formation = 0.547 eV per atom; electronic total energy = -6.60 eV per atom
1.0
0.000 3.246 3.246
3.246 0.000 3.246
3.246 3.246 0.000
La Mn Rh
1 1 1
direct
0.000 0.000 0.000 La
0.250 0.250 0.250 Mn
0.750 0.750 0.750 Rh

---

(2)
AlV5W2 PBE-GGA optimized geometry; SG = I4/mmm, No. 139; size of the total moment = 0.0 μB per cell; energy of formation = -0.116 eV per atom; electronic total energy = -9.52 eV per atom
1.0
-3.058 3.058 3.061
3.058 -3.058 3.061
3.058 3.058 -3.061
Al V W
1 5 2
direct
0.000 0.000 0.000 Al
0.000 0.000 0.500 V
0.000 0.500 0.000 V
0.500 0.000 0.000 V
0.500 0.500 0.000 V
0.500 0.500 0.500 V
0.000 0.500 0.500 W
0.500 0.000 0.500 W

---

(3)
BaGa2Pt PBE-GGA optimized geometry; SG = Fm-3m, No. 225; size of the total moment = 0.0 μB per cell; energy of formation = -0.268 eV per atom; electronic total energy = -3.77 eV per atom
1.0
0.000 3.539 3.539
3.539 0.000 3.539
3.539 3.539 0.000
Ba Ga Pt
1 2 1
direct
0.000 0.000 0.000 Ba
0.250 0.250 0.250 Ga
0.750 0.750 0.750 Ga
0.500 0.500 0.500 Pt

---

(4)
Cs2AgTe2O6 PBE-GGA optimized geometry; SG = C2/m, No. 12; uncorrected formation energy = -1.055 eV/atom; size of the total moment = 0.0 μB per cell; electronic total energy = -4.74 eV per atom
1.0
6.793 -2.950 0.000
6.793 2.950 0.000
-5.473 0.000 6.706
Cs Ag Te O
2 1 2 6
direct
0.209 0.209 0.284 Cs
0.791 0.791 0.716 Cs
0.000 0.000 0.500 Ag
0.428 0.428 0.146 Te
0.572 0.572 0.854 Te
0.152 0.663 0.256 O
0.337 0.848 0.744 O
0.398 0.398 0.730 O
0.602 0.602 0.270 O
0.663 0.152 0.256 O
0.848 0.337 0.744 O